No. 1
A geometry-optimized SrNbCuO2 structure, computed with GGA-PBE.

## Properties
Uncorrected formation energy, eV per atom: 0.57

Cell and atoms, written as POSCAR:
```
SrNbCuO2
1.0
4.398 0.000 0.000
0.000 4.398 0.000
0.000 0.000 4.963
Sr Nb Cu O
1 1 1 2
direct
0.000 0.000 0.000
0.500 0.500 0.500
0.000 0.000 0.500
0.000 0.500 0.000
0.500 0.000 0.000
```

No. 2
A geometry-optimized Cr4IrRh structure, computed with GGA-PBE.

## Properties
Energy of formation from the pure elements, eV/atom: -0.080

Cell and atoms, written as POSCAR:
```
Cr4IrRh
1.0
0.000 3.343 3.343
3.343 0.000 3.343
3.343 3.343 0.000
Cr Ir Rh
4 1 1
direct
0.376 0.376 0.376
0.376 0.376 0.871
0.376 0.871 0.376
0.871 0.376 0.376
0.000 0.000 0.000
0.750 0.750 0.750
```

No. 3
A geometry-optimized Al3Pd structure, computed with GGA-PBE.

## Properties
Energy of formation from the pure elements, eV/atom: -0.316

Cell and atoms, written as POSCAR:
```
Al3Pd
1.0
2.835 0.000 0.000
0.000 2.903 0.000
0.000 0.000 8.187
Al Pd
3 1
direct
0.000 0.000 0.000
0.000 0.500 0.462
0.500 0.500 0.753
0.500 0.000 0.264
```

No. 4
A geometry-optimized Y2TcAg structure, computed with GGA-PBE.

## Properties
Energy of formation from the pure elements, eV/atom: 0.114

Cell and atoms, written as POSCAR:
```
Y2TcAg
1.0
1.735 1.001 9.013
-1.735 1.001 9.013
0.000 -2.003 9.013
Y Tc Ag
2 1 1
direct
0.242 0.242 0.242
0.758 0.758 0.758
0.500 0.500 0.500
0.000 0.000 0.000
```

No. 5
A geometry-optimized TlNi2Ag structure, computed with GGA-PBE.

## Properties
Relative energy among the computed polymorphs, meV per atom: 57.8
Energy of formation from the pure elements, eV/atom: 0.300

Cell and atoms, written as POSCAR:
```
TlNi2Ag
1.0
-1.956 1.956 4.058
1.956 -1.956 4.058
1.956 1.956 -4.058
Tl Ni Ag
1 2 1
direct
0.000 0.000 0.000
0.500 0.500 0.000
0.750 0.250 0.500
0.250 0.750 0.500
```

No. 6
A geometry-optimized LiMg2Te structure, computed with GGA-PBE.

## Properties
Uncorrected formation energy, eV per atom: -0.35

Cell and atoms, written as POSCAR:
```
LiMg2Te
1.0
3.900 0.000 0.000
0.000 3.900 0.000
0.000 0.000 6.047
Li Mg Te
1 2 1
direct
0.000 0.000 0.000
0.000 0.000 0.509
0.500 0.500 0.251
0.500 0.500 0.762
```

No. 7
A geometry-optimized HoFe3Ge2 structure, computed with GGA-PBE.

## Properties
Energy of formation from the pure elements, eV/atom: -0.358

Cell and atoms, written as POSCAR:
```
HoFe3Ge2
1.0
7.413 -1.925 0.000
7.413 1.925 0.000
-3.186 0.000 6.476
Ho Fe Ge
2 6 4
direct
0.146 0.146 0.058
0.854 0.854 0.942
0.042 0.042 0.397
0.308 0.308 0.532
0.418 0.418 0.360
0.582 0.582 0.640
0.692 0.692 0.468
0.958 0.958 0.603
0.196 0.196 0.703
0.476 0.476 0.810
0.524 0.524 0.190
0.804 0.804 0.297
```

No. 8
A geometry-optimized SiSn3W structure, computed with GGA-PBE.

## Properties
Relative energy among the computed polymorphs, meV per atom: 640.3
Uncorrected formation energy, eV per atom: 1.55

Cell and atoms, written as POSCAR:
```
SiSn3W
1.0
5.029 0.000 0.000
0.000 5.029 0.000
0.000 0.000 5.029
Si Sn W
1 3 1
direct
0.000 0.000 0.000
0.000 0.000 0.500
0.000 0.500 0.000
0.500 0.000 0.000
0.500 0.500 0.500
```

no.,total magnetization (μB/atom)
1,0.0001
2,0.0000
3,0.0000
4,0.0000
5,0.0000
6,0.0000
7,0.4041
8,0.0000